(a)
# CaNb2Sn2

A relaxed CaNb2Sn2 crystal (GGA-PBE, Alexandria via LeMat-Bulk).

## Properties
Density of states at the Fermi level (states/eV/atom): 0.0938
Space group: P4/mbm

Geometry as POSCAR:
```
CaNb2Sn2
1.0
8.560 0.000 0.000
0.000 8.560 0.000
0.000 0.000 3.086
Sn Nb Ca
4 4 2
Direct
0.681 0.819 0.500
0.819 0.319 0.500
0.319 0.181 0.500
0.181 0.681 0.500
0.610 0.110 0.000
0.390 0.890 0.000
0.110 0.390 0.000
0.890 0.610 0.000
0.500 0.500 0.000
0.000 0.000 0.000
```



(b)
# CaNb2Sn2

A relaxed CaNb2Sn2 crystal (GGA-PBE, Alexandria via LeMat-Bulk).

## Properties
Density of states at the Fermi level (states/eV/atom): 0.4981
Space group: I4/mmm

Geometry as POSCAR:
```
CaNb2Sn2
1.0
4.159 0.000 0.000
0.000 4.159 0.000
2.079 2.079 6.807
Sn Ca Nb
2 1 2
Direct
0.605 0.605 0.790
0.395 0.395 0.210
0.000 0.000 0.000
0.750 0.250 0.500
0.250 0.750 0.500
```



How far above the most stable structure does each one sit? In meV per atom: (a) 117; (b) 0.



(a)
# CaNb3Sn

A relaxed CaNb3Sn crystal (GGA-PBE, Alexandria via LeMat-Bulk).

## Properties
Density of states at the Fermi level (states/eV/atom): 2.0621
Space group: Pm-3m

Geometry as POSCAR:
```
CaNb3Sn
1.0
5.166 0.000 0.000
0.000 5.166 0.000
0.000 0.000 5.166
Nb Ca Sn
3 1 1
Direct
0.000 0.000 0.500
0.000 0.500 0.000
0.500 0.000 0.000
0.500 0.500 0.500
0.000 0.000 0.000
```



(b)
# CaNb3Sn

A relaxed CaNb3Sn crystal (GGA-PBE, Alexandria via LeMat-Bulk).

## Properties
Density of states at the Fermi level (states/eV/atom): 1.0289
Space group: Pm-3m

Geometry as POSCAR:
```
CaNb3Sn
1.0
-3.250 0.737 3.456
2.789 -2.349 3.123
2.171 4.122 1.162
Ca Nb Sn
1 3 1
Direct
0.000 0.000 0.000
0.500 0.000 0.000
0.000 0.500 0.000
0.000 0.000 0.500
0.500 0.500 0.500
```



How far above the most stable structure does each one sit? In meV per atom: (a) 0; (b) 609.



(a)
# Sr3CaNb

A relaxed Sr3CaNb crystal (GGA-PBE, Alexandria via LeMat-Bulk).

## Properties
Density of states at the Fermi level (states/eV/atom): 1.7637
Space group: Pm-3m

Geometry as POSCAR:
```
Sr3CaNb
1.0
6.032 0.000 0.000
0.000 6.032 0.000
0.000 0.000 6.032
Sr Ca Nb
3 1 1
Direct
0.000 0.500 0.000
0.000 0.000 0.500
0.500 0.000 0.000
0.000 0.000 0.000
0.500 0.500 0.500
```



(b)
# Sr3CaNb

A relaxed Sr3CaNb crystal (GGA-PBE, Alexandria via LeMat-Bulk).

## Properties
Density of states at the Fermi level (states/eV/atom): 1.0194
Space group: Pm-3m

Geometry as POSCAR:
```
Sr3CaNb
1.0
6.051 0.000 0.000
0.000 6.051 0.000
0.000 0.000 6.051
Ca Sr Nb
1 3 1
Direct
0.500 0.500 0.500
0.000 0.500 0.000
0.000 0.000 0.500
0.500 0.000 0.000
0.000 0.000 0.000
```



How far above the most stable structure does each one sit? In meV per atom: (a) 927; (b) 0.



(a)
# SrCaNb2

A relaxed SrCaNb2 crystal (GGA-PBE, Alexandria via LeMat-Bulk).

## Properties
Density of states at the Fermi level (states/eV/atom): 0.9252
Space group: I-42d

Geometry as POSCAR:
```
SrCaNb2
1.0
8.637 0.000 0.000
0.000 8.637 0.000
4.319 4.319 2.933
Nb Sr Ca
4 2 2
Direct
0.617 0.125 0.250
0.375 0.383 0.750
0.875 0.867 0.750
0.133 0.625 0.250
0.750 0.250 0.500
0.000 0.000 0.000
0.250 0.750 0.500
0.500 0.500 0.000
```



(b)
# SrCaNb2

A relaxed SrCaNb2 crystal (GGA-PBE, Alexandria via LeMat-Bulk).

## Properties
Density of states at the Fermi level (states/eV/atom): 1.7031
Space group: Fm-3m

Geometry as POSCAR:
```
SrCaNb2
1.0
0.956 -3.336 4.098
-4.088 -2.429 2.494
-0.758 -5.282 -0.604
Nb Sr Ca
2 1 1
Direct
0.750 0.750 0.750
0.250 0.250 0.250
0.500 0.500 0.500
0.000 0.000 0.000
```



How far above the most stable structure does each one sit? In meV per atom: (a) 79; (b) 0.



(a)
# Ca2NbTc

A relaxed Ca2NbTc crystal (GGA-PBE, Alexandria via LeMat-Bulk).

## Properties
Density of states at the Fermi level (states/eV/atom): 1.3421
Space group: I-42d

Geometry as POSCAR:
```
Ca2NbTc
1.0
10.959 0.000 0.000
0.000 10.959 0.000
5.479 5.479 2.323
Nb Ca Tc
2 4 2
Direct
0.500 0.500 0.000
0.250 0.750 0.500
0.968 0.625 0.250
0.375 0.218 0.750
0.782 0.125 0.250
0.875 0.032 0.750
0.750 0.250 0.500
0.000 0.000 0.000
```



(b)
# Ca2NbTc

A relaxed Ca2NbTc crystal (GGA-PBE, Alexandria via LeMat-Bulk).

## Properties
Density of states at the Fermi level (states/eV/atom): 2.5925
Space group: Fm-3m

Geometry as POSCAR:
```
Ca2NbTc
1.0
-3.473 -1.649 -3.243
-4.815 1.332 0.580
-2.132 3.199 -3.243
Nb Tc Ca
1 1 2
Direct
0.000 0.000 0.000
0.500 0.500 0.500
0.250 0.250 0.250
0.750 0.750 0.750
```



How far above the most stable structure does each one sit? In meV per atom: (a) 0; (b) 209.



(a)
# CaNb3Te

A relaxed CaNb3Te crystal (GGA-PBE, Alexandria via LeMat-Bulk).

## Properties
Density of states at the Fermi level (states/eV/atom): 1.8677
Space group: Pm-3m

Geometry as POSCAR:
```
CaNb3Te
1.0
-0.411 4.429 -2.553
-4.863 -1.129 -1.175
-1.577 2.326 4.290
Nb Ca Te
3 1 1
Direct
0.000 0.000 0.500
0.000 0.500 0.000
0.500 0.000 0.000
0.500 0.500 0.500
0.000 0.000 0.000
```



(b)
# CaNb3Te

A relaxed CaNb3Te crystal (GGA-PBE, Alexandria via LeMat-Bulk).

## Properties
Density of states at the Fermi level (states/eV/atom): 1.4752
Space group: Pm-3m

Geometry as POSCAR:
```
CaNb3Te
1.0
-3.285 0.859 -3.498
-1.529 -4.619 0.302
-3.261 1.300 3.382
Nb Te Ca
3 1 1
Direct
0.500 0.000 0.000
0.000 0.000 0.500
0.000 0.500 0.000
0.500 0.500 0.500
0.000 0.000 0.000
```



How far above the most stable structure does each one sit? In meV per atom: (a) 0; (b) 1024.